# GGA+U CoAsO4, relaxed
# DFT total energy	-5.9371	eV/atom
data_CoAsO4
_chemical_formula_sum 'Co3 As3 O12'
_cell_length_a 4.9249
_cell_length_b 4.9249
_cell_length_c 11.2725
_cell_angle_alpha 90.00
_cell_angle_beta 90.00
_cell_angle_gamma 120.00
_symmetry_space_group_name_H-M 'P 31 2 1'
_symmetry_Int_Tables_number 152
_symmetry_space_group_name_Hall 'P 31 2"'
loop_
_atom_site_label
_atom_site_type_symbol
_atom_site_fract_x
_atom_site_fract_y
_atom_site_fract_z
Co1 Co 0.0000 0.4411 0.1667
As1 As 0.0000 0.4420 0.6667
O1 O 0.0530 0.6690 0.7903
O2 O 0.0779 0.6908 0.2991